No. 1
Entry from Alexandria via LeMat-Bulk: an optimized crystal structure of LaNdTmAl (PBE).

Properties
- SG: F-43m
- Mass density: 6.84 g cm⁻³
- Offset from the most stable computed form: 0.093 eV per atom
- Calculated total energy: -18.2 eV for the cell shown
- V: 29.066 Å³/atom
- Energy of formation from the pure elements: -77 meV/atom

a b c (Å): 5.478 5.478 5.478
angles (deg): 60.00 60.00 60.00
Fractional positions:
La 0.000 0.000 0.000
Nd 0.500 0.500 0.500
Tm 0.750 0.750 0.750
Al 0.250 0.250 0.250

=====

No. 2
Entry from Alexandria via LeMat-Bulk: an optimized crystal structure of NaTaCd (PBE).

Properties
- SG: Pm
- Mass density: 7.58 g cm⁻³
- Offset from the most stable computed form: 0.180 eV per atom
- Calculated total energy: -26.3 eV for the cell shown
- V: 23.110 Å³/atom
- Energy of formation from the pure elements: 318 meV/atom

a b c (Å): 3.020 3.989 11.509
angles (deg): 90.00 90.05 90.00
Fractional positions:
Na 0.000 0.000 0.000
Na 0.498 0.500 0.217
Ta 0.000 0.000 0.693
Ta 0.501 0.500 0.809
Cd 0.500 0.500 0.540
Cd 0.999 0.000 0.391

=====

No. 3
Entry from Alexandria via LeMat-Bulk: an optimized crystal structure of CaAgSe2 (PBE).

Properties
- SG: Fm-3m
- Mass density: 5.70 g cm⁻³
- ΔE_f (raw): -746 meV/atom
- Calculated total energy: -14.8 eV for the cell shown
- V: 22.287 Å³/atom

a b c (Å): 5.014 5.014 5.014
angles (deg): 60.00 60.00 60.00
Fractional positions:
Ca 0.000 0.000 0.000
Ag 0.500 0.500 0.500
Se 0.250 0.250 0.250
Se 0.750 0.750 0.750

=====

No. 4
Entry from Alexandria via LeMat-Bulk: an optimized crystal structure of HOsRuW2 (PBE).

Properties
- SG: P4/mmm
- Mass density: 17.55 g cm⁻³
- Offset from the most stable computed form: 0.000 eV per atom
- Calculated total energy: -49.4 eV for the cell shown
- V: 12.490 Å³/atom

a b c (Å): 4.010 4.010 3.883
angles (deg): 90.00 90.00 90.00
Fractional positions:
H 0.000 0.000 0.000
Os 0.500 0.500 0.500
Ru 0.000 0.000 0.500
W 0.000 0.500 0.000
W 0.500 0.000 0.000